Run A
A plane-wave DFT calculation with PBE-GGA was carried out for a relaxed structure of HoZrFe.

a = 7.738 Å, b = 4.761 Å, c = 6.784 Å
α = 90.00°, β = 90.00°, γ = 90.00°
Positions (direct):
Ho: 0.040 0.250 0.179
Ho: 0.460 0.750 0.679
Ho: 0.540 0.250 0.321
Ho: 0.960 0.750 0.821
Zr: 0.178 0.250 0.627
Zr: 0.322 0.750 0.127
Zr: 0.678 0.250 0.873
Zr: 0.822 0.750 0.373
Fe: 0.146 0.750 0.452
Fe: 0.354 0.250 0.952
Fe: 0.646 0.750 0.048
Fe: 0.854 0.250 0.548

Computed properties:
Its total magnetization is 0.00 μB/cell. The density of states at the Fermi level comes out at 9.45 states/eV/cell.



Run B
A plane-wave DFT calculation with PBE-GGA was carried out for a relaxed structure of HoZrFe.

a = 3.285 Å, b = 3.285 Å, c = 11.775 Å
α = 90.00°, β = 90.00°, γ = 90.00°
Positions (direct):
Ho: 0.000 0.000 0.000
Ho: 0.500 0.500 0.500
Zr: 0.000 0.000 0.733
Zr: 0.500 0.500 0.233
Fe: 0.000 0.000 0.345
Fe: 0.500 0.500 0.845

Computed properties:
Its total magnetization is 2.01 μB/cell. The density of states at the Fermi level comes out at 5.63 states/eV/cell.



Most favorable structure: run A. The second most favorable one is 34 meV per atom above it.



Run A
A plane-wave DFT calculation with PBE-GGA was carried out for a relaxed structure of FeI.

a = 6.050 Å, b = 6.050 Å, c = 6.050 Å
α = 90.00°, β = 90.00°, γ = 90.00°
Positions (direct):
Fe: 0.000 0.000 0.000
Fe: 0.000 0.500 0.500
Fe: 0.500 0.000 0.500
Fe: 0.500 0.500 0.000
I: 0.250 0.250 0.750
I: 0.250 0.750 0.250
I: 0.750 0.250 0.250
I: 0.750 0.750 0.750

Computed properties:
Its total magnetization is 12.00 μB/cell. The density of states at the Fermi level comes out at 22.30 states/eV/cell.



Run B
A plane-wave DFT calculation with PBE-GGA was carried out for a relaxed structure of FeI.

a = 8.194 Å, b = 8.194 Å, c = 8.194 Å
α = 90.00°, β = 90.00°, γ = 90.00°
Positions (direct):
Fe: 0.104 0.104 0.104
Fe: 0.104 0.896 0.896
Fe: 0.396 0.396 0.604
Fe: 0.396 0.604 0.396
Fe: 0.604 0.396 0.396
Fe: 0.604 0.604 0.604
Fe: 0.896 0.104 0.896
Fe: 0.896 0.896 0.104
I: 0.201 0.201 0.799
I: 0.201 0.799 0.201
I: 0.299 0.299 0.299
I: 0.299 0.701 0.701
I: 0.701 0.299 0.701
I: 0.701 0.701 0.299
I: 0.799 0.201 0.201
I: 0.799 0.799 0.799

Computed properties:
Its total magnetization is 24.00 μB/cell. The density of states at the Fermi level comes out at 16.54 states/eV/cell.



Most favorable structure: run B. The second most favorable one is 343 meV per atom above it.



Run A
A plane-wave DFT calculation with PBE-GGA was carried out for a relaxed structure of FeI.

a = 5.904 Å, b = 5.973 Å, c = 11.774 Å
α = 90.00°, β = 90.00°, γ = 90.00°
Positions (direct):
Fe: 0.001 0.250 0.116
Fe: 0.249 0.970 0.500
Fe: 0.251 0.030 0.000
Fe: 0.499 0.750 0.616
Fe: 0.501 0.250 0.884
Fe: 0.749 0.530 0.500
Fe: 0.751 0.470 0.000
Fe: 0.999 0.750 0.384
I: 0.000 0.250 0.368
I: 0.000 0.250 0.858
I: 0.000 0.750 0.132
I: 0.000 0.750 0.642
I: 0.500 0.250 0.142
I: 0.500 0.250 0.632
I: 0.500 0.750 0.358
I: 0.500 0.750 0.868

Computed properties:
Its total magnetization is 24.00 μB/cell. The density of states at the Fermi level comes out at 7.73 states/eV/cell.



Run B
A plane-wave DFT calculation with PBE-GGA was carried out for a relaxed structure of FeI.

a = 4.267 Å, b = 4.267 Å, c = 7.046 Å
α = 90.00°, β = 90.00°, γ = 120.00°
Positions (direct):
Fe: 0.333 0.667 0.000
Fe: 0.667 0.333 0.500
I: 0.333 0.667 0.373
I: 0.667 0.333 0.873

Computed properties:
Its total magnetization is 6.00 μB/cell. The density of states at the Fermi level comes out at 9.61 states/eV/cell.



Run C
A plane-wave DFT calculation with PBE-GGA was carried out for a relaxed structure of FeI.

a = 6.930 Å, b = 6.930 Å, c = 4.733 Å
α = 90.00°, β = 90.00°, γ = 90.00°
Positions (direct):
Fe: 0.111 0.111 0.000
Fe: 0.389 0.611 0.500
Fe: 0.611 0.389 0.500
Fe: 0.889 0.889 0.000
I: 0.244 0.244 0.500
I: 0.256 0.744 0.000
I: 0.744 0.256 0.000
I: 0.756 0.756 0.500

Computed properties:
Its total magnetization is 12.00 μB/cell. The density of states at the Fermi level comes out at 2.80 states/eV/cell.



Run D
A plane-wave DFT calculation with PBE-GGA was carried out for a relaxed structure of FeI.

a = 13.322 Å, b = 4.263 Å, c = 6.772 Å
α = 90.00°, β = 90.00°, γ = 90.00°
Positions (direct):
Fe: 0.000 0.242 0.000
Fe: 0.086 0.742 0.920
Fe: 0.414 0.258 0.420
Fe: 0.500 0.758 0.500
Fe: 0.586 0.258 0.420
Fe: 0.914 0.742 0.920
I: 0.000 0.742 0.272
I: 0.168 0.242 0.751
I: 0.332 0.758 0.251
I: 0.500 0.258 0.772
I: 0.668 0.758 0.251
I: 0.832 0.242 0.751

Computed properties:
Its total magnetization is 18.01 μB/cell. The density of states at the Fermi level comes out at 6.13 states/eV/cell.



Most favorable structure: run D. The second most favorable one is 118 meV per atom above it.



Run A
A plane-wave DFT calculation with PBE-GGA was carried out for a relaxed structure of FeI.

a = 3.936 Å, b = 12.311 Å, c = 6.685 Å
α = 90.00°, β = 90.00°, γ = 90.00°
Positions (direct):
Fe: 0.250 0.058 0.023
Fe: 0.250 0.442 0.023
Fe: 0.250 0.750 0.468
Fe: 0.750 0.250 0.532
Fe: 0.750 0.558 0.977
Fe: 0.750 0.942 0.977
I: 0.250 0.250 0.794
I: 0.250 0.582 0.708
I: 0.250 0.918 0.708
I: 0.750 0.082 0.292
I: 0.750 0.418 0.292
I: 0.750 0.750 0.206

Computed properties:
Its total magnetization is 18.00 μB/cell. The density of states at the Fermi level comes out at 12.53 states/eV/cell.



Run B
A plane-wave DFT calculation with PBE-GGA was carried out for a relaxed structure of FeI.

a = 5.677 Å, b = 5.677 Å, c = 5.677 Å
α = 90.00°, β = 90.00°, γ = 90.00°
Positions (direct):
Fe: 0.000 0.000 0.000
Fe: 0.000 0.500 0.500
Fe: 0.500 0.000 0.500
Fe: 0.500 0.500 0.000
I: 0.000 0.000 0.500
I: 0.000 0.500 0.000
I: 0.500 0.000 0.000
I: 0.500 0.500 0.500

Computed properties:
Its total magnetization is 12.31 μB/cell. The density of states at the Fermi level comes out at 22.37 states/eV/cell.



Most favorable structure: run A. The second most favorable one is 334 meV per atom above it.